The following is a DFT calculation (GGA-PBE) of a relaxed Zn3SiI crystal.

abc: 4.9195 4.9195 4.9195
angles: 90.00 90.00 90.00
Space group Pm-3m (No. 221)
One atom of each set of equivalent atoms:
Zn 0.0000 0.0000 0.5000 x3
Si 0.0000 0.0000 0.0000 x1
I 0.5000 0.5000 0.5000 x1

Output
Energy relative to the lowest polymorph listed for this composition   0 meV/atom

***

The following is a DFT calculation (GGA-PBE) of a relaxed YZn2Rh crystal.

abc: 4.2880 4.2880 14.2878
angles: 90.00 90.00 120.00
Space group R-3m (No. 166, hexagonal axes)
One atom of each set of equivalent atoms:
Y 0.0000 0.0000 0.0000 x3
Zn 0.0000 0.0000 0.2128 x6
Rh 0.0000 0.0000 0.5000 x3

Output
VASP energy   -4.53 eV/atom

***

The following is a DFT calculation (GGA-PBE) of a relaxed HfZnSb crystal.

abc: 4.4435 4.4435 3.7419
angles: 90.00 90.00 120.00
Space group P3m1 (No. 156)
One atom of each set of equivalent atoms:
Hf 0.0000 0.0000 0.0000 x1
Zn 0.3333 0.6667 0.2364 x1
Sb 0.6667 0.3333 0.5445 x1

Output
VASP energy   -5.07 eV/atom

***

The following is a DFT calculation (GGA-PBE) of a relaxed BaCaPb2 crystal.

abc: 4.5176 5.1675 12.8232
angles: 90.00 90.00 90.00
Space group Imm2 (No. 44)
One atom of each set of equivalent atoms:
Ba 0.0000 0.0000 0.0000 x2
Ca 0.0000 0.5000 0.7525 x2
Pb 0.0000 0.0000 0.5771 x2
Pb 0.0000 0.5000 0.2514 x2

Output
VASP energy   -3.28 eV/atom

***

Ordered total magnetization results: 0.00, 0.00, 0.00, 0.00; unit Bohr magnetons per cell.